[1]
Material: Y2Al3Cu12Pt
Method: DFT, PBE
State: relaxed

Unit cell a=12.4336 b=12.4336 c=12.4336 alpha=24.32 beta=24.32 gamma=24.32
Last column: nearest neighbours and their distance in Å.
Fractional positions:
Y1 0.1439 0.1439 0.1439  6 Cu 2.91, 3 Pt 3.13
Y2 0.8561 0.8561 0.8561  6 Cu 2.91, 3 Pt 3.13
Al1 0.0000 0.5000 0.5000  4 Cu 2.53, 4 Al 2.62
Al2 0.5000 0.0000 0.5000  4 Cu 2.53, 4 Al 2.62
Al3 0.5000 0.5000 0.0000  4 Cu 2.53, 4 Al 2.62
Cu1 0.1039 0.1038 0.6260  6 Cu 2.47-2.73, 2 Al 2.53
Cu2 0.1039 0.6260 0.1039  6 Cu 2.47-2.73, 2 Al 2.53
Cu3 0.1066 0.6099 0.6099  6 Cu 2.47-2.64, 1 Pt 2.59
Cu4 0.3740 0.8962 0.8961  6 Cu 2.47-2.73, 2 Al 2.53
Cu5 0.3901 0.3901 0.8934  6 Cu 2.47-2.64, 1 Pt 2.59
Cu6 0.3901 0.8934 0.3901  6 Cu 2.47-2.64, 1 Pt 2.59
Cu7 0.6099 0.1066 0.6099  6 Cu 2.47-2.64, 1 Pt 2.59
Cu8 0.6099 0.6099 0.1066  6 Cu 2.47-2.64, 1 Pt 2.59
Cu9 0.6260 0.1039 0.1039  6 Cu 2.47-2.73, 2 Al 2.53
Cu10 0.8934 0.3901 0.3901  6 Cu 2.47-2.64, 1 Pt 2.59
Cu11 0.8962 0.3740 0.8962  6 Cu 2.47-2.73, 2 Al 2.53
Cu12 0.8962 0.8961 0.3740  6 Cu 2.47-2.73, 2 Al 2.53
Pt1 0.5000 0.5000 0.5000  6 Cu 2.59

Computed properties:
DFT formation energy: -0.020 eV/atom


[2]
Material: AlZnCuPt
Method: DFT, PBE
State: relaxed

Unit cell a=4.5376 b=4.5376 c=4.5376 alpha=128.29 beta=128.29 gamma=76.16
Last column: nearest neighbours and their distance in Å.
Fractional positions:
Al1 0.0000 0.0000 0.0000  4 Pt 2.67, 4 Cu 2.67, 4 Zn 2.80
Zn1 0.5000 0.5000 0.0000  4 Cu 2.67, 4 Pt 2.67, 4 Al 2.80
Cu1 0.7500 0.2500 0.5000  4 Al 2.67, 4 Zn 2.67, 4 Pt 2.80
Pt1 0.2500 0.7500 0.5000  4 Al 2.67, 4 Zn 2.67, 4 Cu 2.80

Computed properties:
DFT formation energy: -0.512 eV/atom


[3]
Material: Al2ZnCuPt4
Method: DFT, PBE
State: relaxed

Unit cell a=7.5200 b=7.5200 c=7.5200 alpha=33.53 beta=33.53 gamma=33.53
Last column: nearest neighbours and their distance in Å.
Fractional positions:
Al1 0.2476 0.2476 0.2476  8 Pt 2.63-2.70
Al2 0.7524 0.7524 0.7524  8 Pt 2.63-2.70
Zn1 0.0000 0.0000 0.0000  8 Pt 2.64-2.65
Cu1 0.5000 0.5000 0.5000  8 Pt 2.66-2.67
Pt1 0.1241 0.1241 0.1241  4 Al 2.63, 1 Zn 2.64, 3 Cu 2.66
Pt2 0.3743 0.3743 0.3743  3 Zn 2.65, 1 Cu 2.67, 4 Al 2.68-2.70
Pt3 0.6257 0.6257 0.6257  3 Zn 2.65, 1 Cu 2.67, 4 Al 2.68-2.70
Pt4 0.8759 0.8759 0.8759  4 Al 2.63, 1 Zn 2.64, 3 Cu 2.66

Computed properties:
DFT formation energy: -0.715 eV/atom


[4]
Material: PuAlCu2
Method: DFT, PBE
State: relaxed

Unit cell a=5.0523 b=4.1093 c=6.7545 alpha=90.00 beta=90.00 gamma=90.00
Last column: nearest neighbours and their distance in Å.
Fractional positions:
Pu1 0.2500 0.0000 0.1700  3 Cu 2.93-2.98, 6 Al 3.08-3.26
Pu2 0.7500 0.0000 0.8300  3 Cu 2.93-2.98, 6 Al 3.08-3.26
Al1 0.2500 0.5000 0.8303  4 Cu 2.53-2.56
Al2 0.7500 0.5000 0.1697  4 Cu 2.53-2.56
Cu1 0.0000 0.5000 0.5000  6 Cu 2.53, 2 Al 2.56
Cu2 0.2500 0.0000 0.6113  4 Cu 2.53, 2 Al 2.53
Cu3 0.5000 0.5000 0.5000  6 Cu 2.53, 2 Al 2.56
Cu4 0.7500 0.0000 0.3887  4 Cu 2.53, 2 Al 2.53

Computed properties:
DFT formation energy: -0.123 eV/atom


[5]
Material: Pu3AlCu8
Method: DFT, PBE
State: relaxed

Unit cell a=8.9018 b=8.9018 c=8.9018 alpha=33.60 beta=33.60 gamma=33.60
Last column: nearest neighbours and their distance in Å.
Fractional positions:
Pu1 0.0000 0.0000 0.0000  12 Cu 2.95-3.02, 3 Al 3.14, 1 Pu 3.15
Pu2 0.1253 0.1253 0.1253  12 Cu 3.02-3.07, 4 Pu 3.15
Pu3 0.5000 0.5000 0.5000  12 Cu 3.01-3.08, 3 Pu 3.15, 1 Al 3.17
Al1 0.6261 0.6261 0.6261  12 Cu 2.92-3.01, 4 Pu 3.14-3.17
Cu1 0.0546 0.5626 0.5626  6 Cu 2.53-2.62
Cu2 0.0656 0.0656 0.5651  6 Cu 2.50-2.62
Cu3 0.0656 0.5651 0.0656  6 Cu 2.50-2.62
Cu4 0.3121 0.3121 0.3121  6 Cu 2.50-2.54
Cu5 0.5626 0.0546 0.5626  6 Cu 2.53-2.62
Cu6 0.5626 0.5626 0.0546  6 Cu 2.53-2.62
Cu7 0.5651 0.0656 0.0656  6 Cu 2.50-2.62
Cu8 0.8130 0.8130 0.8130  6 Cu 2.62

Computed properties:
DFT formation energy: -0.041 eV/atom


[6]
Material: PuAlCu11
Method: DFT, PBE
State: relaxed

Unit cell a=6.4324 b=6.4324 c=6.5907 alpha=97.97 beta=97.97 gamma=135.48
Last column: nearest neighbours and their distance in Å.
Fractional positions:
Pu1 0.0000 0.0000 0.0000  18 Cu 3.03-3.30, 2 Al 3.30
Al1 0.5000 0.5000 0.5000  10 Cu 2.44-2.63
Cu1 0.0000 0.0000 0.5000  2 Al 2.44, 8 Cu 2.49-2.60
Cu2 0.0000 0.5000 0.0000  10 Cu 2.44-2.63
Cu3 0.0071 0.6497 0.6478  8 Cu 2.48-2.73, 1 Al 2.63
Cu4 0.2785 0.5023 0.7779  9 Cu 2.46-2.73, 1 Al 2.48
Cu5 0.3503 0.9929 0.3522  8 Cu 2.48-2.73, 1 Al 2.63
Cu6 0.4977 0.7215 0.2221  9 Cu 2.46-2.73, 1 Al 2.48
Cu7 0.5000 0.0000 0.0000  10 Cu 2.44-2.63
Cu8 0.5023 0.2785 0.7779  9 Cu 2.46-2.73, 1 Al 2.48
Cu9 0.6497 0.0071 0.6478  8 Cu 2.48-2.73, 1 Al 2.63
Cu10 0.7215 0.4977 0.2221  9 Cu 2.46-2.73, 1 Al 2.48
Cu11 0.9929 0.3503 0.3522  8 Cu 2.48-2.73, 1 Al 2.63

Computed properties:
DFT formation energy: -0.049 eV/atom


[7]
Material: PuAlCu
Method: DFT, PBE
State: relaxed

Unit cell a=5.3358 b=5.3358 c=5.3358 alpha=119.38 beta=118.90 gamma=91.50
Last column: nearest neighbours and their distance in Å.
Fractional positions:
Pu1 0.3736 0.1236 0.2500  6 Cu 3.09-3.17, 6 Al 3.11-3.15, 4 Pu 3.28-3.29
Pu2 0.6264 0.8764 0.7500  6 Cu 3.09-3.17, 6 Al 3.11-3.15, 4 Pu 3.28-3.29
Al1 0.0000 0.5000 0.5000  4 Cu 2.67, 2 Al 2.71
Al2 0.5000 0.5000 0.0000  4 Cu 2.67, 2 Al 2.71
Cu1 0.0000 0.0000 0.5000  4 Al 2.67, 2 Cu 2.69
Cu2 0.0000 0.5000 0.0000  4 Al 2.67, 2 Cu 2.69

Computed properties:
DFT formation energy: -0.224 eV/atom


[8]
Material: PuAlCu
Method: DFT, PBE
State: relaxed

Unit cell a=11.2343 b=10.6329 c=5.0075 alpha=83.57 beta=70.14 gamma=26.29
Last column: nearest neighbours and their distance in Å.
Fractional positions:
Pu1 0.0411 0.7089 0.0411  3 Pu 2.85-2.91, 4 Cu 2.96-2.97
Pu2 0.2911 0.9589 0.2911  3 Pu 2.85-2.91, 4 Cu 2.96-2.97
Pu3 0.7089 0.0411 0.7089  3 Pu 2.85-2.91, 4 Cu 2.96-2.97
Pu4 0.9589 0.2911 0.9589  3 Pu 2.85-2.91, 4 Cu 2.96-2.97
Al1 0.2930 0.2930 0.4570  4 Cu 2.59-2.66
Al2 0.4570 0.4570 0.2930  4 Cu 2.59-2.66
Al3 0.5430 0.5430 0.7070  4 Cu 2.59-2.66
Al4 0.7070 0.7070 0.5430  4 Cu 2.59-2.66
Cu1 0.0007 0.0007 0.2493  2 Cu 2.50, 4 Al 2.59-2.66
Cu2 0.2493 0.2493 0.0007  2 Cu 2.50, 4 Al 2.59-2.66
Cu3 0.7507 0.7507 0.9993  2 Cu 2.50, 4 Al 2.59-2.66
Cu4 0.9993 0.9993 0.7507  2 Cu 2.50, 4 Al 2.59-2.66

Computed properties:
DFT formation energy: -0.086 eV/atom


[9]
Material: PuAl6Cu3
Method: DFT, PBE
State: relaxed

Unit cell a=8.7433 b=4.0435 c=9.8268 alpha=90.00 beta=96.68 gamma=90.00
Last column: nearest neighbours and their distance in Å.
Fractional positions:
Pu1 0.0217 0.2500 0.2157  8 Al 3.00-3.20, 4 Cu 3.06-3.15
Pu2 0.9783 0.7500 0.7843  8 Al 3.00-3.20, 4 Cu 3.06-3.15
Al1 0.0994 0.7500 0.4669  2 Cu 2.68, 6 Al 2.79-2.96
Al2 0.1816 0.2500 0.9441  2 Cu 2.44, 1 Al 2.68
Al3 0.2088 0.2500 0.6753  3 Cu 2.47-2.72, 1 Al 2.68
Al4 0.3629 0.2500 0.2064  4 Cu 2.48-2.67, 3 Al 2.69-2.72
Al5 0.4129 0.7500 0.5777  4 Cu 2.55-2.66, 2 Al 2.72-2.83
Al6 0.4940 0.2500 0.9070  3 Cu 2.48-2.49, 4 Al 2.69-2.72
Al7 0.5060 0.7500 0.0930  3 Cu 2.48-2.49, 4 Al 2.69-2.72
Al8 0.5871 0.2500 0.4223  4 Cu 2.55-2.66, 2 Al 2.72-2.83
Al9 0.6371 0.7500 0.7936  4 Cu 2.48-2.67, 3 Al 2.69-2.72
Al10 0.7912 0.7500 0.3247  3 Cu 2.47-2.72, 1 Al 2.68
Al11 0.8184 0.7500 0.0559  2 Cu 2.44, 1 Al 2.68
Al12 0.9006 0.2500 0.5331  2 Cu 2.68, 6 Al 2.79-2.96
Cu1 0.2212 0.7500 0.0836  5 Al 2.44-2.59
Cu2 0.2965 0.2500 0.4452  7 Al 2.47-2.68
Cu3 0.3404 0.7500 0.8332  9 Al 2.49-2.78, 1 Cu 2.78
Cu4 0.6596 0.2500 0.1668  9 Al 2.49-2.78, 1 Cu 2.78
Cu5 0.7035 0.7500 0.5548  7 Al 2.47-2.68
Cu6 0.7788 0.2500 0.9164  5 Al 2.44-2.59

Computed properties:
DFT formation energy: -0.080 eV/atom


[10]
Material: Pu2Al12Cu7
Method: DFT, PBE
State: relaxed

Unit cell a=10.0069 b=10.0069 c=3.9660 alpha=90.00 beta=90.00 gamma=120.00
Last column: nearest neighbours and their distance in Å.
Fractional positions:
Pu1 0.3333 0.6667 0.2417  6 Cu 3.10-3.11, 12 Al 3.25-3.46
Pu2 0.6667 0.3333 0.7583  6 Cu 3.10-3.11, 12 Al 3.25-3.46
Al1 0.0517 0.4352 0.7493  4 Cu 2.48-2.56
Al2 0.1181 0.2676 0.2457  4 Cu 2.49-2.55, 1 Al 2.78
Al3 0.1496 0.8819 0.2457  4 Cu 2.49-2.55, 1 Al 2.78
Al4 0.2676 0.1496 0.7543  4 Cu 2.49-2.55, 1 Al 2.78
Al5 0.3835 0.9483 0.7493  4 Cu 2.48-2.56
Al6 0.4352 0.3835 0.2507  4 Cu 2.48-2.56
Al7 0.5648 0.6165 0.7493  4 Cu 2.48-2.56
Al8 0.6165 0.0517 0.2507  4 Cu 2.48-2.56
Al9 0.7324 0.8504 0.2457  4 Cu 2.49-2.55, 1 Al 2.78
Al10 0.8504 0.1181 0.7543  4 Cu 2.49-2.55, 1 Al 2.78
Al11 0.8819 0.7324 0.7543  4 Cu 2.49-2.55, 1 Al 2.78
Al12 0.9483 0.5648 0.2507  4 Cu 2.48-2.56
Cu1 0.0000 0.0000 0.0000  6 Al 2.52
Cu2 0.1184 0.7090 0.7443  7 Al 2.48-2.56
Cu3 0.2910 0.4094 0.7443  7 Al 2.48-2.56
Cu4 0.4094 0.1184 0.2557  7 Al 2.48-2.56
Cu5 0.5906 0.8816 0.7443  7 Al 2.48-2.56
Cu6 0.7090 0.5906 0.2557  7 Al 2.48-2.56
Cu7 0.8816 0.2910 0.2557  7 Al 2.48-2.56

Computed properties:
DFT formation energy: -0.222 eV/atom